# GdCo2

A relaxed structure of GdCo2 (GGA-PBE, the Open Quantum Materials Database).

Unit cell a=5.0805 b=5.0805 c=4.2667 alpha=90.00 beta=90.00 gamma=90.00
Space group P4_2/mnm (No. 136)
Asymmetric unit:
Gd1 0.0000 0.0000 0.0000
Co1 0.1693 0.1693 0.5000

Relative energy among the computed polymorphs, eV/atom: 1.554
Energy relative to the elements, eV/atom: 1.398

=====

# Pu2In

A relaxed structure of Pu2In (GGA-PBE, the Open Quantum Materials Database).

Unit cell a=14.1175 b=14.1175 c=14.1175 alpha=90.00 beta=90.00 gamma=90.00
Space group Fd-3m (No. 227, origin choice 2)
Asymmetric unit:
Pu1 0.0000 0.0000 0.0000
In1 0.1250 0.1250 0.1250

E_tot, eV per atom: -8.596

=====

# TbInFeSe3

A relaxed structure of TbInFeSe3 (GGA-PBE, the Open Quantum Materials Database).

Unit cell a=4.0865 b=14.7131 c=10.7545 alpha=90.00 beta=90.00 gamma=90.00
Space group Cmcm (No. 63)
Asymmetric unit:
Tb1 0.0000 0.0000 0.0000
In1 0.0000 0.2441 0.2500
Fe1 0.0000 0.4726 0.7500
Se1 0.0000 0.0708 0.7500
Se2 0.0000 0.3724 0.5716

E_tot, eV per atom: -5.236

=====

# KOsPt

A relaxed structure of KOsPt (GGA-PBE, the Open Quantum Materials Database).

Unit cell a=6.6259 b=6.6259 c=6.6259 alpha=90.00 beta=90.00 gamma=90.00
Space group F-43m (No. 216)
Asymmetric unit:
K1 0.0000 0.0000 0.0000
Os1 0.2500 0.2500 0.7500
Pt1 0.2500 0.2500 0.2500

Relative energy among the computed polymorphs, eV/atom: 0.942

=====

# AlZnAu6

A relaxed structure of AlZnAu6 (GGA-PBE, the Open Quantum Materials Database).

Unit cell a=5.8084 b=5.8084 c=4.7245 alpha=90.00 beta=90.00 gamma=120.00
Space group P-6m2 (No. 187)
Asymmetric unit:
Al1 0.0000 0.0000 0.0000
Zn1 0.6667 0.3333 0.5000
Au1 0.1634 0.3268 0.5000
Au2 0.5027 0.0054 0.0000

E_tot, eV per atom: -3.247

=====

# KAcIr

A relaxed structure of KAcIr (GGA-PBE, the Open Quantum Materials Database).

Unit cell a=7.2705 b=7.2705 c=7.2705 alpha=90.00 beta=90.00 gamma=90.00
Space group F-43m (No. 216)
Asymmetric unit:
K1 0.0000 0.0000 0.0000
Ac1 0.0000 0.0000 0.5000
Ir1 0.2500 0.2500 0.2500

Relative energy among the computed polymorphs, eV/atom: 0.000

=====

# CdB4Pd

A relaxed structure of CdB4Pd (GGA-PBE, the Open Quantum Materials Database).

Unit cell a=3.0311 b=5.2524 c=7.9013 alpha=90.00 beta=90.00 gamma=90.00
Space group Immm (No. 71)
Asymmetric unit:
Cd1 0.0000 0.0000 0.0000
B1 0.0000 0.3347 0.2483
Pd1 0.0000 0.0000 0.5000

Relative energy among the computed polymorphs, eV/atom: 0.000

=====

- What is the formula in the fourth record?
  KOsPt

=====

- Which formula does entry 3 have?
  TbInFeSe3